#1
Si3PbF (PBE, relaxed); ρ = 3.3 g/cm³; SG = Pm-3m, No. 221
1.0
-4.6215 1.7044 2.2042
0.2219 -4.0304 3.5817
2.7774 3.1580 3.3816
Si F Pb
3 1 1
direct
0.0000 0.5000 0.0000 Si
0.0000 0.0000 0.5000 Si
0.5000 0.0000 0.0000 Si
0.5000 0.5000 0.5000 F
0.0000 0.0000 0.0000 Pb

---

#2
Si3PbF (PBE, relaxed); ρ = 5.2 g/cm³; SG = Pm-3m, No. 221
1.0
-2.4691 0.8963 -3.8044
-1.7687 -4.2690 0.1421
-3.4855 1.5314 2.6229
Si Pb F
3 1 1
direct
0.0000 0.0000 0.5000 Si
0.5000 0.0000 0.0000 Si
0.0000 0.5000 0.0000 Si
0.5000 0.5000 0.5000 Pb
0.0000 0.0000 0.0000 F

---

Least stable structure: #1

---

#1
SiPbF3 (PBE, relaxed); ρ = 4.5 g/cm³; SG = Pm-3m, No. 221
1.0
4.7643 0.0000 0.0000
0.0000 4.7643 0.0000
0.0000 0.0000 4.7643
F Pb Si
3 1 1
direct
0.0000 0.0000 0.5000 F
0.0000 0.5000 0.0000 F
0.5000 0.0000 0.0000 F
0.0000 0.0000 0.0000 Pb
0.5000 0.5000 0.5000 Si

---

#2
SiPbF3 (PBE, relaxed); ρ = 5.7 g/cm³; SG = Pm-3m, No. 221
1.0
-0.0892 4.3766 -0.2864
-2.2156 -0.2922 -3.7750
-3.7852 0.0679 2.2163
F Si Pb
3 1 1
direct
0.0000 0.5000 0.0000 F
0.5000 0.0000 0.0000 F
0.0000 0.0000 0.5000 F
0.0000 0.0000 0.0000 Si
0.5000 0.5000 0.5000 Pb

---

Least stable structure: #1

---

#1
SnPbF2 (PBE, relaxed); ρ = 8.0 g/cm³; SG = Fm-3m, No. 225
1.0
4.0000 1.2199 2.2516
0.0854 3.8595 2.7666
0.3067 -0.4655 4.7167
F Pb Sn
2 1 1
direct
0.2500 0.2500 0.2500 F
0.7500 0.7500 0.7500 F
0.5000 0.5000 0.5000 Pb
0.0000 0.0000 0.0000 Sn

---

#2
SnPbF2 (PBE, relaxed); ρ = 7.3 g/cm³; SG = R-3m, No. 166
1.0
5.0536 2.2443 6.7470
6.5183 3.9332 4.2590
3.8586 5.2279 5.8205
Sn F Pb
1 2 1
direct
0.0000 0.0000 0.0000 Sn
0.9114 0.9114 0.9114 F
0.0886 0.0886 0.0886 F
0.5000 0.5000 0.5000 Pb

---

#3
SnPbF2 (PBE, relaxed); ρ = 5.8 g/cm³; SG = I-42d, No. 122
1.0
6.0481 0.0000 0.0000
0.0000 6.0481 0.0000
3.0241 3.0241 5.6524
Pb Sn F
2 2 4
direct
0.0000 0.0000 0.0000 Pb
0.7500 0.2500 0.5000 Pb
0.2500 0.7500 0.5000 Sn
0.5000 0.5000 0.0000 Sn
0.8750 0.7957 0.7500 F
0.2043 0.6250 0.2500 F
0.3750 0.4543 0.7500 F
0.5457 0.1250 0.2500 F

---

Least stable structure: #1

---

#1
Sn2PbF6 (PBE, relaxed); ρ = 5.5 g/cm³; SG = C2/c, No. 15
1.0
5.6703 -0.1060 -0.1026
1.4522 7.7116 -0.9272
1.4522 -0.6768 7.7376
Sn F Pb
4 12 2
direct
0.9154 0.7959 0.5767 Sn
0.5846 0.4233 0.2041 Sn
0.4154 0.5767 0.7959 Sn
0.0846 0.2041 0.4233 Sn
0.1184 0.4482 0.8267 F
0.0491 0.9343 0.3359 F
0.8748 0.1878 0.1181 F
0.9509 0.0657 0.6641 F
0.5491 0.3359 0.9343 F
0.8816 0.5518 0.1733 F
0.3748 0.1181 0.1878 F
0.6252 0.8819 0.8122 F
0.1252 0.8122 0.8819 F
0.4509 0.6641 0.0657 F
0.3816 0.1733 0.5518 F
0.6184 0.8267 0.4482 F
0.7500 0.8638 0.1362 Pb
0.2500 0.1362 0.8638 Pb

---

#2
Sn2PbF6 (PBE, relaxed); ρ = 5.2 g/cm³; SG = C2/c, No. 15
1.0
-1.7798 4.1333 4.5182
-1.7125 -7.1447 3.1911
7.9590 0.8481 -0.3110
Sn F Pb
4 12 2
direct
0.5895 0.5070 0.7531 Sn
0.9105 0.2469 0.4930 Sn
0.0895 0.7531 0.5070 Sn
0.4105 0.4930 0.2469 Sn
0.3931 0.6320 0.0641 F
0.0744 0.5012 0.2299 F
0.8931 0.0641 0.6320 F
0.4256 0.7701 0.4988 F
0.9256 0.4988 0.7701 F
0.6750 0.0810 0.1910 F
0.1069 0.9359 0.3680 F
0.3250 0.9190 0.8090 F
0.5744 0.2299 0.5012 F
0.8250 0.8090 0.9190 F
0.6069 0.3680 0.9359 F
0.1750 0.1910 0.0810 F
0.2500 0.9036 0.0964 Pb
0.7500 0.0964 0.9036 Pb

---

Least stable structure: #2

---

#1
SrPbF2 (PBE, relaxed); ρ = 6.7 g/cm³; SG = Fm-3m, No. 225
1.0
0.0000 3.4621 3.4621
3.4621 0.0000 3.4621
3.4621 3.4621 0.0000
F Pb Sr
2 1 1
direct
0.7500 0.7500 0.7500 F
0.2500 0.2500 0.2500 F
0.5000 0.5000 0.5000 Pb
0.0000 0.0000 0.0000 Sr

---

#2
SrPbF2 (PBE, relaxed); ρ = 5.0 g/cm³; SG = I-42d, No. 122
1.0
-4.3718 3.4744 -2.8838
-4.4596 -3.9510 2.0004
-5.0481 2.8362 4.2212
Pb F Sr
2 4 2
direct
0.0000 0.0000 0.0000 Pb
0.7500 0.2500 0.5000 Pb
0.2243 0.6250 0.2500 F
0.3750 0.4743 0.7500 F
0.5257 0.1250 0.2500 F
0.8750 0.7757 0.7500 F
0.2500 0.7500 0.5000 Sr
0.5000 0.5000 0.0000 Sr

---

#3
SrPbF2 (PBE, relaxed); ρ = 5.4 g/cm³; SG = R-3m, No. 166
1.0
2.2008 0.0000 8.1083
-1.1004 1.9059 8.1083
-1.1004 -1.9059 8.1083
Sr F Pb
1 2 1
direct
0.5000 0.5000 0.5000 Sr
0.1248 0.1248 0.1248 F
0.8752 0.8752 0.8752 F
0.0000 0.0000 0.0000 Pb

---

Least stable structure: #1

---

#1
Ta2PbF (PBE, relaxed); ρ = 11.0 g/cm³; SG = I-42d, No. 122
1.0
-1.9186 -3.2823 -3.1477
0.8166 -3.6095 3.2660
-7.1657 -2.3388 2.9366
Ta Pb F
4 2 2
direct
0.8750 0.6562 0.7500 Ta
0.4062 0.1250 0.2500 Ta
0.3750 0.5938 0.7500 Ta
0.3438 0.6250 0.2500 Ta
0.7500 0.2500 0.5000 Pb
0.0000 0.0000 0.0000 Pb
0.5000 0.5000 0.0000 F
0.2500 0.7500 0.5000 F

---

#2
Ta2PbF (PBE, relaxed); ρ = 13.6 g/cm³; SG = Fm-3m, No. 225
1.0
0.0000 3.3004 3.3004
3.3004 0.0000 3.3004
3.3004 3.3004 0.0000
Pb Ta F
1 2 1
direct
0.5000 0.5000 0.5000 Pb
0.2500 0.2500 0.2500 Ta
0.7500 0.7500 0.7500 Ta
0.0000 0.0000 0.0000 F

---

Least stable structure: #1

---

#1
TaPb2F2 (PBE, relaxed); ρ = 11.6 g/cm³; SG = I4/mmm, No. 139
1.0
3.5382 0.0000 0.0000
0.0000 3.5382 0.0000
1.7691 1.7691 7.2708
F Ta Pb
2 1 2
direct
0.7500 0.2500 0.5000 F
0.2500 0.7500 0.5000 F
0.0000 0.0000 0.0000 Ta
0.3723 0.3723 0.2553 Pb
0.6277 0.6277 0.7447 Pb

---

#2
TaPb2F2 (PBE, relaxed); ρ = 10.0 g/cm³; SG = P4/mbm, No. 127
1.0
8.3033 0.0000 0.0000
0.0000 8.3033 0.0000
0.0000 0.0000 3.0590
F Ta Pb
4 2 4
direct
0.8826 0.3826 0.5000 F
0.6174 0.8826 0.5000 F
0.3826 0.1174 0.5000 F
0.1174 0.6174 0.5000 F
0.0000 0.0000 0.0000 Ta
0.5000 0.5000 0.0000 Ta
0.2736 0.7736 0.0000 Pb
0.7736 0.7264 0.0000 Pb
0.2264 0.2736 0.0000 Pb
0.7264 0.2264 0.0000 Pb

---

Least stable structure: #2

---

#1
TaPb2F (PBE, relaxed); ρ = 11.7 g/cm³; SG = Fm-3m, No. 225
1.0
0.0000 3.5245 3.5245
3.5245 0.0000 3.5245
3.5245 3.5245 0.0000
F Pb Ta
1 2 1
direct
0.0000 0.0000 0.0000 F
0.7500 0.7500 0.7500 Pb
0.2500 0.2500 0.2500 Pb
0.5000 0.5000 0.5000 Ta

---

#2
TaPb2F (PBE, relaxed); ρ = 9.1 g/cm³; SG = I-42d, No. 122
1.0
-4.7268 -1.4672 2.4495
-0.0692 -4.6772 -2.9351
1.3921 -6.4487 5.0485
F Pb Ta
2 4 2
direct
0.2500 0.7500 0.5000 F
0.5000 0.5000 0.0000 F
0.5776 0.1250 0.2500 Pb
0.1724 0.6250 0.2500 Pb
0.8750 0.8276 0.7500 Pb
0.3750 0.4224 0.7500 Pb
0.0000 0.0000 0.0000 Ta
0.7500 0.2500 0.5000 Ta

---

Least stable structure: #2